! PBE-GGA KBe2Ru, relaxed; values from VASP
&SYSTEM
  ibrav = 0, nat = 4, ntyp = 3
/
ATOMIC_SPECIES
Ru 101.07 Ru.upf
K 39.10 K.upf
Be 9.01 Be.upf
CELL_PARAMETERS angstrom
-2.5757 -2.0913 2.9467
-3.8004 -1.8772 -1.3130
-0.3667 -4.4207 -0.1169
ATOMIC_POSITIONS crystal
Ru 0.5000 0.5000 0.5000
K 0.0000 0.0000 0.0000
Be 0.2500 0.2500 0.2500
Be 0.7500 0.7500 0.7500
! - ΔE_f: 1184 meV per atom
! - Energy: -3.273 eV per atom
! - Crystal system: cubic
! - Density: 4252 kg/m3

! PBE-GGA NdDy2P3, relaxed; values from VASP
&SYSTEM
  ibrav = 0, nat = 6, ntyp = 3
/
ATOMIC_SPECIES
Nd 144.24 Nd.upf
Dy 162.50 Dy.upf
P 30.97 P.upf
CELL_PARAMETERS angstrom
-1.4397 1.5020 3.4911
0.2311 -5.2396 2.3495
6.2945 2.9613 -1.0437
ATOMIC_POSITIONS crystal
Nd 0.0000 0.5000 0.0000
Dy 0.6661 0.1661 0.3322
Dy 0.3339 0.8339 0.6678
P 0.3282 0.3282 0.6565
P 0.0000 0.0000 0.0000
P 0.6718 0.6718 0.3435
! - ΔE_f: -1578 meV per atom
! - Energy: -6.612 eV per atom
! - Crystal system: orthorhombic
! - Density: 6563 kg/m3

! PBE-GGA Ac5ThN6, relaxed; values from VASP
&SYSTEM
  ibrav = 0, nat = 12, ntyp = 3
/
ATOMIC_SPECIES
Ac 227.00 Ac.upf
Th 232.04 Th.upf
N 14.01 N.upf
CELL_PARAMETERS angstrom
-1.5525 -5.4874 3.4811
5.4150 -3.9003 0.5126
4.1896 0.7550 5.1815
ATOMIC_POSITIONS crystal
Ac 0.5000 0.1640 0.6720
Ac 0.0000 0.3325 0.3350
Ac 0.5000 0.5000 0.0000
Ac 0.0000 0.6675 0.6650
Ac 0.5000 0.8360 0.3280
Th 0.0000 0.0000 0.0000
N 0.7661 0.0785 0.3063
N 0.2339 0.6152 0.3063
N 0.2435 0.2290 0.0000
N 0.7565 0.7710 0.0000
N 0.7661 0.3848 0.6937
N 0.2339 0.9215 0.6937
! - Energy: -7.678 eV per atom
! - Crystal system: monoclinic
! - Density: 9824 kg/m3
! - E_form (uncorrected): -1.19 eV per atom

! PBE-GGA La3Nd4Sm5, relaxed; values from VASP
&SYSTEM
  ibrav = 0, nat = 12, ntyp = 3
/
ATOMIC_SPECIES
La 138.91 La.upf
Nd 144.24 Nd.upf
Sm 150.36 Sm.upf
CELL_PARAMETERS angstrom
5.9178 0.0000 0.0000
2.9589 8.5220 -3.4152
2.9589 -1.5787 9.1755
ATOMIC_POSITIONS crystal
La 0.5468 0.6378 0.2686
La 0.0000 0.5000 0.5000
La 0.4532 0.3622 0.7314
Nd 0.9469 0.2590 0.8471
Nd 0.1660 0.8697 0.7982
Nd 0.8340 0.1303 0.2018
Nd 0.0531 0.7410 0.1529
Sm 0.7267 0.9378 0.6088
Sm 0.5000 0.5000 0.5000
Sm 0.3418 0.2521 0.0642
Sm 0.6582 0.7479 0.9358
Sm 0.2733 0.0622 0.3912
! - ΔE_f: 243 meV per atom
! - Energy: -4.544 eV per atom
! - Crystal system: monoclinic
! - Density: 6728 kg/m3

! PBE-GGA FeSiPd2Ru, relaxed; values from VASP
&SYSTEM
  ibrav = 0, nat = 5, ntyp = 4
/
ATOMIC_SPECIES
Ru 101.07 Ru.upf
Si 28.09 Si.upf
Fe 55.84 Fe.upf
Pd 106.42 Pd.upf
CELL_PARAMETERS angstrom
4.5934 0.0000 0.0000
0.0000 4.3000 0.0000
0.0000 0.0000 4.5934
ATOMIC_POSITIONS crystal
Ru 0.0000 0.5000 0.0000
Si 0.5000 0.5000 0.5000
Fe 0.0000 0.0000 0.0000
Pd 0.0000 0.0000 0.5000
Pd 0.5000 0.0000 0.0000
! - Energy: -5.625 eV per atom
! - Crystal system: tetragonal
! - Density: 7281 kg/m3
! - E_form (uncorrected): 1.08 eV per atom

! PBE-GGA Rb4Y3ZrTe8, relaxed; values from VASP
&SYSTEM
  ibrav = 0, nat = 16, ntyp = 4
/
ATOMIC_SPECIES
Rb 85.47 Rb.upf
Y 88.91 Y.upf
Zr 91.22 Zr.upf
Te 127.60 Te.upf
CELL_PARAMETERS angstrom
-2.5585 5.1593 6.8043
-4.4420 -7.8644 4.2929
8.6620 -0.8831 -1.9125
ATOMIC_POSITIONS crystal
Rb 0.5000 0.0000 0.0000
Rb 0.5000 0.0000 0.5000
Rb 0.0000 0.0000 0.0000
Rb 0.0000 0.0000 0.5000
Y 0.5000 0.5000 0.0000
Y 0.5000 0.5000 0.5000
Y 0.0000 0.5000 0.5000
Zr 0.0000 0.5000 0.0000
Te 0.2271 0.6974 0.9702
Te 0.2271 0.6974 0.4543
Te 0.2660 0.2981 0.5321
Te 0.7431 0.6974 0.9702
Te 0.2569 0.3026 0.0298
Te 0.7340 0.7019 0.4679
Te 0.7729 0.3026 0.5457
Te 0.7729 0.3026 0.0298
! - Energy: -4.828 eV per atom
! - Crystal system: trigonal
! - Density: 4842 kg/m3
! - E_form (uncorrected): -1.27 eV per atom

! PBE-GGA Na3TlIr, relaxed; values from VASP
&SYSTEM
  ibrav = 0, nat = 5, ntyp = 3
/
ATOMIC_SPECIES
Na 22.99 Na.upf
Tl 204.38 Tl.upf
Ir 192.22 Ir.upf
CELL_PARAMETERS angstrom
-1.7426 0.5415 5.2281
0.1192 -5.5025 0.6097
5.2548 0.3044 1.7199
ATOMIC_POSITIONS crystal
Na 0.0000 0.5000 0.0000
Na 0.0000 0.0000 0.5000
Na 0.5000 0.0000 0.0000
Tl 0.0000 0.0000 0.0000
Ir 0.5000 0.5000 0.5000
! - ΔE_f: 1174 meV per atom
! - Energy: -1.863 eV per atom
! - Crystal system: cubic
! - Density: 4553 kg/m3

! PBE-GGA BaUIr2, relaxed; values from VASP
&SYSTEM
  ibrav = 0, nat = 4, ntyp = 3
/
ATOMIC_SPECIES
Ir 192.22 Ir.upf
U 238.03 U.upf
Ba 137.33 Ba.upf
CELL_PARAMETERS angstrom
3.9231 0.0000 0.0000
1.9615 3.3975 0.0000
1.9615 1.1325 7.7067
ATOMIC_POSITIONS crystal
Ir 0.2687 0.2687 0.1939
Ir 0.7313 0.7313 0.8061
U 0.0000 0.0000 0.0000
Ba 0.5000 0.5000 0.5000
! - ΔE_f: -237 meV per atom
! - Energy: -7.970 eV per atom
! - Crystal system: trigonal
! - Density: 12283 kg/m3